# FePt PBE relaxed
# ΔE_f in eV/atom: 0.056
# ρ in g cm⁻³: 13.57
# Total DFT energy (no corrections) in eV for the cell shown: -86.34
data_FePt
_symmetry_space_group_name_H-M 'P 63/m'
_symmetry_Int_Tables_number 176
_symmetry_space_group_name_Hall '-P 6c'
_cell_length_a 8.9067
_cell_length_b 8.9067
_cell_length_c 2.6822
_cell_angle_alpha 90.00
_cell_angle_beta 90.00
_cell_angle_gamma 120.00
loop_
_atom_site_label
_atom_site_type_symbol
_atom_site_fract_x
_atom_site_fract_y
_atom_site_fract_z
Fe1 Fe 0.1496 0.5319 0.2500
Pt1 Pt 0.0557 0.7579 0.2500

# Fe2Pt PBE relaxed
# ΔE_f in eV/atom: -0.134
# ρ in g cm⁻³: 12.63
# Total DFT energy (no corrections) in eV for the cell shown: -93.47
data_Fe2Pt
_symmetry_space_group_name_H-M 'P n m a'
_symmetry_Int_Tables_number 62
_symmetry_space_group_name_Hall '-P 2ac 2n'
_cell_length_a 5.321
_cell_length_b 3.791
_cell_length_c 7.997
_cell_angle_alpha 90.00
_cell_angle_beta 90.00
_cell_angle_gamma 90.00
loop_
_atom_site_label
_atom_site_type_symbol
_atom_site_fract_x
_atom_site_fract_y
_atom_site_fract_z
Fe1 Fe 0.120 0.250 0.076
Fe2 Fe 0.135 0.250 0.742
Pt1 Pt 0.126 0.250 0.408

# Fe2Pt3 PBE relaxed
# ΔE to the lowest computed polymorph in meV/atom: 30
# ΔE_f in eV/atom: -0.126
# ρ in g cm⁻³: 15.83
# Total DFT energy (no corrections) in eV for the cell shown: -107.03
data_Fe2Pt3
_symmetry_space_group_name_H-M 'R -3 m'
_symmetry_Int_Tables_number 166
_symmetry_space_group_name_Hall '-R 3 2"'
_cell_length_a 4.3437
_cell_length_b 4.3437
_cell_length_c 13.4265
_cell_angle_alpha 90.00
_cell_angle_beta 90.00
_cell_angle_gamma 120.00
loop_
_atom_site_label
_atom_site_type_symbol
_atom_site_fract_x
_atom_site_fract_y
_atom_site_fract_z
Fe1 Fe 0.0000 0.0000 0.0915
Pt1 Pt 0.0000 0.0000 0.2847
Pt2 Pt 0.0000 0.0000 0.5000

# FePt4 PBE relaxed
# ΔE to the lowest computed polymorph in meV/atom: 1195
# ΔE_f in eV/atom: 1.048
# ρ in g cm⁻³: 14.96
# Total DFT energy (no corrections) in eV for the cell shown: -27.39
data_FePt4
_symmetry_space_group_name_H-M 'P m -3 m'
_symmetry_Int_Tables_number 221
_symmetry_space_group_name_Hall '-P 4 2 3'
_cell_length_a 4.528
_cell_length_b 4.528
_cell_length_c 4.528
_cell_angle_alpha 90.00
_cell_angle_beta 90.00
_cell_angle_gamma 90.00
loop_
_atom_site_label
_atom_site_type_symbol
_atom_site_fract_x
_atom_site_fract_y
_atom_site_fract_z
Fe1 Fe 0.000 0.000 0.000
Pt1 Pt 0.000 0.000 0.500
Pt2 Pt 0.500 0.500 0.500

# Fe8Pt PBE relaxed
# ΔE_f in eV/atom: -0.039
# ρ in g cm⁻³: 9.65
# Total DFT energy (no corrections) in eV for the cell shown: -148.18
data_Fe8Pt
_symmetry_space_group_name_H-M 'I 4/m m m'
_symmetry_Int_Tables_number 139
_symmetry_space_group_name_Hall '-I 4 2'
_cell_length_a 8.744
_cell_length_b 8.744
_cell_length_c 2.889
_cell_angle_alpha 90.00
_cell_angle_beta 90.00
_cell_angle_gamma 90.00
loop_
_atom_site_label
_atom_site_type_symbol
_atom_site_fract_x
_atom_site_fract_y
_atom_site_fract_z
Fe1 Fe 0.000 0.336 0.000
Fe2 Fe 0.173 0.173 0.500
Pt1 Pt 0.000 0.000 0.000

# Fe5Pt3 PBE relaxed
# ΔE to the lowest computed polymorph in meV/atom: 8
# ΔE_f in eV/atom: -0.151
# ρ in g cm⁻³: 13.17
# Total DFT energy (no corrections) in eV for the cell shown: -123.28
data_Fe5Pt3
_symmetry_space_group_name_H-M 'C 1 2/m 1'
_symmetry_Int_Tables_number 12
_symmetry_space_group_name_Hall '-C 2y'
_cell_length_a 9.236
_cell_length_b 5.403
_cell_length_c 4.606
_cell_angle_alpha 90.00
_cell_angle_beta 108.47
_cell_angle_gamma 90.00
loop_
_atom_site_label
_atom_site_type_symbol
_atom_site_fract_x
_atom_site_fract_y
_atom_site_fract_z
Fe1 Fe 0.000 0.000 0.000
Fe2 Fe 0.000 0.249 0.500
Fe3 Fe 0.250 0.250 0.000
Pt1 Pt 0.000 0.500 0.000
Pt2 Pt 0.246 0.000 0.494

# FePt PBE relaxed
# ΔE_f in eV/atom: 0.941
# ρ in g cm⁻³: 7.51
# Total DFT energy (no corrections) in eV for the cell shown: -100.97
data_FePt
_symmetry_space_group_name_H-M 'I -4 3 m'
_symmetry_Int_Tables_number 217
_symmetry_space_group_name_Hall 'I -4 2 3'
_cell_length_a 7.628
_cell_length_b 7.628
_cell_length_c 7.628
_cell_angle_alpha 90.00
_cell_angle_beta 90.00
_cell_angle_gamma 90.00
loop_
_atom_site_label
_atom_site_type_symbol
_atom_site_fract_x
_atom_site_fract_y
_atom_site_fract_z
Fe1 Fe 0.187 0.187 0.187
Pt1 Pt 0.132 0.132 0.868

# Fe2Pt PBE relaxed
# ΔE_f in eV/atom: -0.093
# ρ in g cm⁻³: 13.05
# Total DFT energy (no corrections) in eV for the cell shown: -185.97
data_Fe2Pt
_symmetry_space_group_name_H-M 'P 63/m m c'
_symmetry_Int_Tables_number 194
_symmetry_space_group_name_Hall '-P 6c 2c'
_cell_length_a 4.7936
_cell_length_b 4.7936
_cell_length_c 15.6908
_cell_angle_alpha 90.00
_cell_angle_beta 90.00
_cell_angle_gamma 120.00
loop_
_atom_site_label
_atom_site_type_symbol
_atom_site_fract_x
_atom_site_fract_y
_atom_site_fract_z
Fe1 Fe 0.0000 0.5000 0.0000
Fe2 Fe 0.1641 0.3282 0.2500
Fe3 Fe 0.3333 0.6667 0.1250
Pt1 Pt 0.0000 0.0000 0.0936
Pt2 Pt 0.3333 0.6667 0.6561

# Pu2Fe2Pt PBE relaxed
# ΔE_f in eV/atom: -0.271
# ρ in g cm⁻³: 14.56
# Total DFT energy (no corrections) in eV for the cell shown: -105.97
data_Pu2Fe2Pt
_symmetry_space_group_name_H-M 'I m m m'
_symmetry_Int_Tables_number 71
_symmetry_space_group_name_Hall '-I 2 2'
_cell_length_a 4.528
_cell_length_b 5.221
_cell_length_c 7.667
_cell_angle_alpha 90.00
_cell_angle_beta 90.00
_cell_angle_gamma 90.00
loop_
_atom_site_label
_atom_site_type_symbol
_atom_site_fract_x
_atom_site_fract_y
_atom_site_fract_z
Pu1 Pu 0.000 0.000 0.204
Fe1 Fe 0.000 0.253 0.500
Pt1 Pt 0.000 0.500 0.000

# Pu2FePt PBE relaxed
# ΔE_f in eV/atom: 0.193
# ρ in g cm⁻³: 16.59
# Total DFT energy (no corrections) in eV for the cell shown: -127.19
data_Pu2FePt
_symmetry_space_group_name_H-M 'R -3 m'
_symmetry_Int_Tables_number 166
_symmetry_space_group_name_Hall '-R 3 2"'
_cell_length_a 2.9273
_cell_length_b 2.9273
_cell_length_c 29.8952
_cell_angle_alpha 90.00
_cell_angle_beta 90.00
_cell_angle_gamma 120.00
loop_
_atom_site_label
_atom_site_type_symbol
_atom_site_fract_x
_atom_site_fract_y
_atom_site_fract_z
Pu1 Pu 0.0000 0.0000 0.0810
Fe1 Fe 0.0000 0.0000 0.0000
Pt1 Pt 0.0000 0.0000 0.5000

# PuFePt4 PBE relaxed
# ΔE_f in eV/atom: -0.318
# ρ in g cm⁻³: 16.66
# Total DFT energy (no corrections) in eV for the cell shown: -195.46
data_PuFePt4
_symmetry_space_group_name_H-M 'F -4 3 m'
_symmetry_Int_Tables_number 216
_symmetry_space_group_name_Hall 'F -4 2 3'
_cell_length_a 7.552
_cell_length_b 7.552
_cell_length_c 7.552
_cell_angle_alpha 90.00
_cell_angle_beta 90.00
_cell_angle_gamma 90.00
loop_
_atom_site_label
_atom_site_type_symbol
_atom_site_fract_x
_atom_site_fract_y
_atom_site_fract_z
Pu1 Pu 0.000 0.000 0.000
Fe1 Fe 0.250 0.250 0.250
Pt1 Pt 0.124 0.124 0.624

# Pu2FePt PBE relaxed
# ΔE_f in eV/atom: -0.296
# ρ in g cm⁻³: 15.25
# Total DFT energy (no corrections) in eV for the cell shown: -44.35
data_Pu2FePt
_symmetry_space_group_name_H-M 'P 4/m m m'
_symmetry_Int_Tables_number 123
_symmetry_space_group_name_Hall '-P 4 2'
_cell_length_a 3.426
_cell_length_b 3.426
_cell_length_c 6.857
_cell_angle_alpha 90.00
_cell_angle_beta 90.00
_cell_angle_gamma 90.00
loop_
_atom_site_label
_atom_site_type_symbol
_atom_site_fract_x
_atom_site_fract_y
_atom_site_fract_z
Pu1 Pu 0.000 0.000 0.239
Fe1 Fe 0.500 0.500 0.000
Pt1 Pt 0.500 0.500 0.500